(1)
Below is a relaxed K3RbGe crystal, with properties calculated at the PBE level.

Unit cell a=7.4671 b=7.4671 c=7.4671 alpha=90.00 beta=90.00 gamma=90.00
Last column: magnetic moment on the atom in μB.
Fractional positions:
Ge (0.5000, 0.5000, 0.5000)  0.68
K (0.0000, 0.5000, 0.0000)  0.00
K (0.0000, 0.0000, 0.5000)  0.00
K (0.5000, 0.0000, 0.0000)  -0.01
Rb (0.0000, 0.0000, 0.0000)  0.00

## Properties
The total magnetic moment comes out at 2.00 μB/cell. For the density of states at the Fermi level, the calculation gives 1.9 states/eV/cell. The calculated volume comes out at 416.3 Å³/f.u. The calculation puts the density at 1.10 Mg/m³. The formation energy comes out at 748.6 meV/atom. The calculation puts the energy at -5.13 eV per formula unit. Its space group is Pm-3m, No. 221. For the energy above the most stable polymorph in this dataset, the calculation gives 620.2 meV per atom.

(2)
Below is a relaxed KFeRe2 crystal, with properties calculated at the PBE level.

Unit cell a=4.6070 b=4.6070 c=7.2377 alpha=87.47 beta=87.47 gamma=33.38
Last column: magnetic moment on the atom in μB.
Fractional positions:
Fe (0.4840, 0.4840, 0.5984)  2.46
K (0.2471, 0.2471, 0.2528)  0.01
Re (0.0099, 0.0099, 0.8972)  0.07
Re (0.7591, 0.7591, 0.7516)  -0.05

## Properties
The total magnetic moment comes out at 2.66 μB/cell. For the density of states at the Fermi level, the calculation gives 4.1 states/eV/cell. The calculated volume comes out at 84.4 Å³/f.u. The calculation puts the density at 9.19 Mg/m³. The formation energy comes out at 938.2 meV/atom. The calculation puts the energy at -30.70 eV per formula unit. Its space group is Cm, No. 8. For the energy above the most stable polymorph in this dataset, the calculation gives 134.9 meV per atom.

(3)
Below is a relaxed LiCu2Ni crystal, with properties calculated at the PBE level.

Unit cell a=3.7093 b=2.4947 c=5.6530 alpha=63.42 beta=90.00 gamma=90.00
Fractional positions:
Ni (0.5000, 0.7500, 0.7500)
Cu (0.0000, 0.0046, 0.9932)
Cu (0.0000, 0.4954, 0.5068)
Li (0.5000, 0.2500, 0.2500)

## Properties
The total magnetic moment comes out at 0.00 μB/cell. For the density of states at the Fermi level, the calculation gives 2.7 states/eV/cell. The calculated volume comes out at 46.8 Å³/f.u. The calculation puts the density at 6.84 Mg/m³. The formation energy comes out at -16.8 meV/atom. The calculation puts the energy at -15.95 eV per formula unit. Its space group is P2/m, No. 10. For the energy above the most stable polymorph in this dataset, the calculation gives 28.8 meV per atom.

(4)
Below is a relaxed LaNd6YHo2 crystal, with properties calculated at the PBE level.

Unit cell a=9.7951 b=8.9988 c=8.9988 alpha=117.86 beta=94.09 gamma=94.09
Fractional positions:
La (0.2500, 0.4063, 0.5937)
La (0.7500, 0.5937, 0.4063)
Nd (0.0544, 0.1126, 0.7600)
Nd (0.4456, 0.2400, 0.8874)
Nd (0.9456, 0.8874, 0.2400)
Nd (0.5544, 0.7600, 0.1126)
Nd (0.3176, 0.9803, 0.4340)
Nd (0.1824, 0.5660, 0.0197)
Nd (0.6824, 0.0197, 0.5660)
Nd (0.8176, 0.4340, 0.9803)
Nd (0.1207, 0.7060, 0.4925)
Nd (0.3793, 0.5075, 0.2940)
Nd (0.8793, 0.2940, 0.5075)
Nd (0.6207, 0.4925, 0.7060)
Y (0.2500, 0.9705, 0.0295)
Y (0.7500, 0.0295, 0.9705)
Ho (0.4545, 0.8054, 0.7065)
Ho (0.0455, 0.2935, 0.1946)
Ho (0.5455, 0.1946, 0.2935)
Ho (0.9545, 0.7065, 0.8054)

## Properties
The total magnetic moment comes out at 0.00 μB/cell. For the density of states at the Fermi level, the calculation gives 29.8 states/eV/cell. The calculated volume comes out at 347.3 Å³/f.u. The calculation puts the density at 6.80 Mg/m³. The formation energy comes out at 112.0 meV/atom. The calculation puts the energy at -48.03 eV per formula unit. Its space group is C2/c, No. 15.

(5)
Below is a relaxed Sb3PdC crystal, with properties calculated at the PBE level.

Unit cell a=4.7047 b=4.7047 c=4.7047 alpha=90.00 beta=90.00 gamma=90.00
Fractional positions:
Sb (0.0000, 0.5000, 0.0000)
Sb (0.0000, 0.0000, 0.5000)
Sb (0.5000, 0.0000, 0.0000)
C (0.0000, 0.0000, 0.0000)
Pd (0.5000, 0.5000, 0.5000)

## Properties
The total magnetic moment comes out at 0.00 μB/cell. For the density of states at the Fermi level, the calculation gives 2.0 states/eV/cell. The raw formation energy is 4.4 eV/f.u. The calculated volume comes out at 104.1 Å³/f.u. The calculation puts the density at 7.71 Mg/m³. The calculation puts the energy at -22.41 eV per formula unit. Its space group is Pm-3m, No. 221. For the energy above the most stable polymorph in this dataset, the calculation gives 0.0 meV per atom.

(6)
Below is a relaxed MgPd9Pb2 crystal, with properties calculated at the PBE level.

Unit cell a=4.0654 b=4.0654 c=12.1741 alpha=90.00 beta=90.00 gamma=90.00
Fractional positions:
Mg (0.0000, 0.0000, 0.0000)
Pd (0.5000, 0.5000, 0.0000)
Pd (0.5000, 0.5000, 0.3308)
Pd (0.5000, 0.5000, 0.6692)
Pd (0.5000, 0.0000, 0.1586)
Pd (0.5000, 0.0000, 0.5000)
Pd (0.5000, 0.0000, 0.8414)
Pd (0.0000, 0.5000, 0.1586)
Pd (0.0000, 0.5000, 0.5000)
Pd (0.0000, 0.5000, 0.8414)
Pb (0.0000, 0.0000, 0.3281)
Pb (0.0000, 0.0000, 0.6719)

## Properties
The total magnetic moment comes out at 0.00 μB/cell. For the density of states at the Fermi level, the calculation gives 9.6 states/eV/cell. The calculated volume comes out at 201.2 Å³/f.u. The calculation puts the density at 11.53 Mg/m³. The formation energy comes out at -344.3 meV/atom. The calculation puts the energy at -59.88 eV per formula unit. Its space group is P4/mmm, No. 123.

(7)
Below is a relaxed LiLaGa4Pt2 crystal, with properties calculated at the PBE level.

Unit cell a=4.3296 b=4.3296 c=9.2167 alpha=76.42 beta=76.42 gamma=60.00
Fractional positions:
Li (0.5000, 0.5000, 0.5000)
La (0.0000, 0.0000, 0.0000)
Ga (0.4023, 0.4023, 0.7931)
Ga (0.8692, 0.8692, 0.3924)
Ga (0.1308, 0.1308, 0.6076)
Ga (0.5977, 0.5977, 0.2069)
Pt (0.7677, 0.7677, 0.6969)
Pt (0.2323, 0.2323, 0.3031)

## Properties
The total magnetic moment comes out at 0.00 μB/cell. For the density of states at the Fermi level, the calculation gives 2.8 states/eV/cell. The calculated volume comes out at 144.0 Å³/f.u. The calculation puts the density at 9.40 Mg/m³. The formation energy comes out at -749.4 meV/atom. The calculation puts the energy at -37.03 eV per formula unit. Its space group is R-3m, No. 166.

(8)
Below is a relaxed Nb6VGe2 crystal, with properties calculated at the PBE level.

Unit cell a=4.4257 b=8.3313 c=8.3993 alpha=90.00 beta=90.00 gamma=90.00
Fractional positions:
Nb (0.0000, 0.9783, 0.1791)
Nb (0.0000, 0.6850, 0.5271)
Nb (0.0000, 0.6795, 0.8703)
Nb (0.5000, 0.1795, 0.6297)
Nb (0.5000, 0.1850, 0.9729)
Nb (0.5000, 0.4783, 0.3209)
Nb (0.0000, 0.0217, 0.8209)
Nb (0.0000, 0.3150, 0.4729)
Nb (0.0000, 0.3205, 0.1297)
Nb (0.5000, 0.8205, 0.3703)
Nb (0.5000, 0.8150, 0.0271)
Nb (0.5000, 0.5217, 0.6791)
V (0.5000, 0.5000, 0.0000)
V (0.0000, 0.0000, 0.5000)
Ge (0.9999, 0.3517, 0.8053)
Ge (0.5001, 0.8517, 0.6947)
Ge (0.4999, 0.1483, 0.3053)
Ge (0.0001, 0.6483, 0.1947)

## Properties
The total magnetic moment comes out at 0.00 μB/cell. For the density of states at the Fermi level, the calculation gives 15.2 states/eV/cell. The calculated volume comes out at 154.9 Å³/f.u. The calculation puts the density at 8.08 Mg/m³. The formation energy comes out at -99.5 meV/atom. The calculation puts the energy at -79.67 eV per formula unit. Its space group is Pnnm, No. 58.